VASP calculation (PBE) on Rb4FeCl7 after structural relaxation.

Cell and atoms, written as extended XYZ:
```
12
Lattice="8.8755 -2.4191 0.0000 8.8755 2.4191 0.0000 -8.0391 0.0000 10.6977" Properties=species:S:1:pos:R:3 pbc="T T T"
Rb -0.9962 0.0000 3.9356
Rb 3.6563 0.0000 1.8608
Rb 6.0556 0.0000 8.8369
Rb 10.7081 0.0000 6.7621
Fe 8.8755 0.0000 0.0000
Cl 0.0000 0.0000 0.0000
Cl -4.9150 0.0000 9.2612
Cl 2.2127 0.0000 4.7271
Cl -0.0846 0.0000 8.7177
Cl 9.7965 0.0000 1.9800
Cl 7.4992 0.0000 5.9706
Cl 14.6268 0.0000 1.4365
```

Results
For the uncorrected formation energy, the calculation gives -1390 meV per atom. The calculation puts the total energy at -3.495 eV per atom.